12
Lattice="6.887 0.000 0.000 0.000 6.887 0.000 0.000 0.000 6.887" Properties=species:S:1:pos:R:3 comment="AgBr2 | Alexandria via LeMat-Bulk | PBE-GGA | optimized geometry" vol_a3_per_fu=81.7 raw_formation_energy_mev_per_atom=16.1 magnetic_moment_mub_per_atom=0.00 pbc="T T T"
Ag 0.000 0.000 0.000
Ag 0.000 3.443 3.443
Ag 3.443 0.000 3.443
Ag 3.443 3.443 0.000
Br 1.722 1.722 1.722
Br 1.722 1.722 5.165
Br 1.722 5.165 1.722
Br 1.722 5.165 5.165
Br 5.165 1.722 1.722
Br 5.165 1.722 5.165
Br 5.165 5.165 1.722
Br 5.165 5.165 5.165